1.
ReHW2 after structural relaxation. Source: Alexandria via LeMat-Bulk, functional PBE-GGA.

a = 5.1316 Å, b = 5.1316 Å, c = 5.1316 Å
α = 108.60°, β = 108.60°, γ = 111.24°
Fractional coordinates of all 8 atoms:
Re (0.0000, 0.0000, 0.0000)
Re (0.7500, 0.2500, 0.5000)
H (0.2500, 0.7500, 0.5000)
H (0.5000, 0.5000, 0.0000)
W (0.2190, 0.6250, 0.0940)
W (0.3750, 0.4690, 0.5940)
W (0.5310, 0.1250, 0.9060)
W (0.8750, 0.7810, 0.4060)

Properties
* space group: I-42d, No. 122
* N(E_F): 5.87 states/eV/cell
* distance to the lowest polymorph of the same formula: 1.43 eV per formula unit


2.
RbPaNiSe4 after structural relaxation. Source: Alexandria via LeMat-Bulk, functional PBE-GGA.

a = 6.9416 Å, b = 5.8791 Å, c = 9.6276 Å
α = 90.00°, β = 105.88°, γ = 90.00°
Fractional coordinates of all 14 atoms:
Rb (0.2438, 0.2500, 0.0484)
Rb (0.7562, 0.7500, 0.9516)
Pa (0.2678, 0.2500, 0.5530)
Pa (0.7322, 0.7500, 0.4470)
Ni (0.2539, 0.7500, 0.3469)
Ni (0.7461, 0.2500, 0.6531)
Se (0.0114, 0.5076, 0.6971)
Se (0.0114, 0.9924, 0.6971)
Se (0.4254, 0.7500, 0.5899)
Se (0.4541, 0.7500, 0.1845)
Se (0.5459, 0.2500, 0.8155)
Se (0.5746, 0.2500, 0.4101)
Se (0.9886, 0.0076, 0.3029)
Se (0.9886, 0.4924, 0.3029)

Properties
* space group: P2_1/m, No. 11
* N(E_F): 9.13 states/eV/cell
* uncorrected formation energy: -1.03 eV per atom